Arrangement i

This record from Alexandria describes TcOs2W after structural relaxation. The functional is GGA-PBEsol.

Output
As for the magnetization: 0.00 μB per formula unit. Its space group is Pmm2, No. 25.

a b c (Å): 2.7385 3.8359 5.5100
angles (deg): 90.00 90.00 90.00
Positions (direct):
Os1 0.5000 0.5000 0.2559
Os2 0.0000 0.0000 0.0049
Tc1 0.0000 0.0000 0.4867
W1 0.5000 0.5000 0.7525

Arrangement ii

This record from Alexandria describes TcOs2W after structural relaxation. The functional is GGA-PBEsol.

Output
As for the magnetization: 0.00 μB per formula unit. Its space group is P4/mmm, No. 123.

a b c (Å): 3.2347 3.2347 5.6073
angles (deg): 90.00 90.00 90.00
Positions (direct):
W1 0.5000 0.5000 0.5000
Os1 0.0000 0.0000 0.2462
Os2 0.0000 0.0000 0.7538
Tc1 0.5000 0.5000 0.0000

Looking at the structures above, which would you pick as the most stable? I would pick arrangement i.